Density functional theory data (meta-GGA SCAN) for a crystal of ReGe3N relaxed with PBEsol.

Mass density: 9.914 Mg/m³
Raw formation energy: 1.099 eV/atom
Energy: -26.431 eV/atom

Lattice parameters (Å, degrees): 4.1220 4.1220 4.1220 90.00 90.00 90.00
Element x y z (fractional)
Ge1 0.0000 0.0000 0.5000
Ge2 0.0000 0.5000 0.0000
Ge3 0.5000 0.0000 0.0000
Re1 0.5000 0.5000 0.5000
N1 0.0000 0.0000 0.0000

***

Density functional theory data (meta-GGA SCAN) for a crystal of ReGe3N relaxed with PBEsol.

Mass density: 6.491 Mg/m³
Raw formation energy: 1.117 eV/atom
Energy: -26.413 eV/atom

Lattice parameters (Å, degrees): 4.7470 4.7470 4.7470 90.00 90.00 90.00
Element x y z (fractional)
Ge1 0.0000 0.0000 0.5000
Ge2 0.5000 0.0000 0.0000
Ge3 0.0000 0.5000 0.0000
N1 0.5000 0.5000 0.5000
Re1 0.0000 0.0000 0.0000

***

Density functional theory data (meta-GGA SCAN) for a crystal of ReGeSN2 relaxed with PBEsol.

Mass density: 8.394 Mg/m³
Raw formation energy: 1.723 eV/atom
Energy: -21.956 eV/atom

Lattice parameters (Å, degrees): 3.7091 3.7091 4.5860 90.00 90.00 90.00
Element x y z (fractional)
Re1 0.5000 0.5000 0.5000
N1 0.0000 0.5000 0.0000
N2 0.5000 0.0000 0.0000
Ge1 0.0000 0.0000 0.0000
S1 0.0000 0.0000 0.5000

***

Density functional theory data (meta-GGA SCAN) for a crystal of ReGeSN2 relaxed with PBEsol.

Mass density: 7.284 Mg/m³
Raw formation energy: 0.484 eV/atom
Energy: -23.195 eV/atom

Lattice parameters (Å, degrees): 3.8281 3.8281 4.9615 90.00 90.00 90.00
Element x y z (fractional)
Ge1 0.5000 0.5000 0.5000
Re1 0.0000 0.0000 0.0000
N1 0.5000 0.0000 0.0000
N2 0.0000 0.5000 0.0000
S1 0.0000 0.0000 0.5000

***

Number 1: excess energy over the best structure of this formula in the dataset 0.000 eV per atom, density of states at the Fermi level 0.39 states/eV per atom, total moment 1.74 μB per formula unit. Number 2: excess energy over the best structure of this formula in the dataset 0.018 eV per atom, density of states at the Fermi level 0.46 states/eV per atom, total moment 2.00 μB per formula unit. Number 3: excess energy over the best structure of this formula in the dataset 1.239 eV per atom, density of states at the Fermi level 0.47 states/eV per atom, total moment 2.16 μB per formula unit. Number 4: excess energy over the best structure of this formula in the dataset 0.000 eV per atom, density of states at the Fermi level 0.57 states/eV per atom, total moment 0.00 μB per formula unit.